1.
A plane-wave DFT calculation with PBE was carried out for K3AsF6 after structural relaxation.

Cell and atoms, written as POSCAR:
```
K3AsF6
1.0
6.7790 0.1544 -0.0909
-1.6729 6.5713 -0.0496
-1.3547 -1.8269 6.3954
K As F
3 1 6
Direct
0.0000 0.0000 0.5000
0.5000 0.0000 0.0000
0.0000 0.5000 0.0000
0.0000 0.0000 0.0000
0.9328 0.2211 0.2215
0.0672 0.7789 0.7785
0.2212 0.9332 0.2216
0.7788 0.0668 0.7784
0.2226 0.2228 0.9338
0.7774 0.7772 0.0662
```

## Properties
Total magnetic moment: 0.00 μB per formula unit
Symmetry: C2/m
Crystal system: monoclinic
Uncorrected energy: -4.40 eV per atom

2.
A plane-wave DFT calculation with PBE was carried out for HoTmP after structural relaxation.

Cell and atoms, written as POSCAR:
```
HoTmP
1.0
-2.9094 -4.5263 0.0121
2.8368 -1.8244 -0.3915
0.8299 2.6867 8.2177
Tm Ho P
2 2 2
Direct
0.6758 0.1758 0.3517
0.3242 0.8242 0.6483
0.7532 0.5000 0.0000
0.2468 0.5000 0.0000
0.1573 0.6573 0.3145
0.8427 0.3427 0.6855
```

## Properties
Total magnetic moment: 0.00 μB per formula unit
Symmetry: Immm
Energy relative to the elements: -7.826 kcal/mol of atoms
Crystal system: orthorhombic
ΔE to the lowest computed polymorph: 1.86 eV/f.u.

3.
A plane-wave DFT calculation with PBE was carried out for HoHgGeAu after structural relaxation.

Cell and atoms, written as POSCAR:
```
HoHgGeAu
1.0
-3.6601 2.6843 1.9787
-0.7404 -0.0515 4.8956
1.0548 4.0105 2.7057
Ge Au Hg Ho
1 1 1 1
Direct
0.2500 0.2500 0.2500
0.7500 0.7500 0.7500
0.5000 0.5000 0.5000
0.0000 0.0000 0.0000
```

## Properties
Total magnetic moment: 0.00 μB per formula unit
Symmetry: F-43m
Energy relative to the elements: -9.202 kcal/mol of atoms
Crystal system: cubic